# PuCoAgO6 (GGA+U, optimized geometry)
# Final energy = -64.1 eV per formula unit
# ρ = 7.5 Mg/m³
# Size of the total moment = 1.808 μB per cell
data_PuCoAgO6
_cell_length_a 5.1409
_cell_length_b 5.1409
_cell_length_c 9.8548
_cell_angle_alpha 90.00
_cell_angle_beta 90.00
_cell_angle_gamma 120.00
_space_group_name_H-M_alt 'P -3 1 c'
_space_group_IT_number 163
_space_group_name_Hall '-P 3 2c'
loop_
_atom_site_label
_atom_site_type_symbol
_atom_site_fract_x
_atom_site_fract_y
_atom_site_fract_z
Pu1 Pu 0.3333 0.6667 0.2500
Co1 Co 0.3333 0.6667 0.7500
Ag1 Ag 0.0000 0.0000 0.0000
O1 O 0.0151 0.3690 0.6410